1.
{
  "formula": "SbSeBr2",
  "functional": "meta-GGA SCAN",
  "state": "single point on PBEsol structure",
  "raw_formation_energy_mev_per_atom": 317,
  "e_above_lowest_polymorph_ev_per_atom": 0.1216,
  "cell": [[1.764, -2.988, 0.000], [1.764, 2.988, 0.000], [0.000, 0.000, 9.194]],
  "species": ["Sb", "Se", "Br", "Br"],
  "fractional_positions": [[0.000, 0.000, 0.000], [0.000, 0.000, 0.500], [0.500, 0.500, 0.254], [0.500, 0.500, 0.746]]
}


2.
{
  "formula": "SbSeBr4",
  "functional": "meta-GGA SCAN",
  "state": "single point on PBEsol structure",
  "raw_formation_energy_mev_per_atom": 877,
  "cell": [[0.000, 4.205, 4.205], [4.205, 0.000, 4.205], [4.205, 4.205, 0.000]],
  "species": ["Sb", "Se", "Br", "Br", "Br", "Br"],
  "fractional_positions": [[0.000, 0.000, 0.000], [0.250, 0.250, 0.250], [0.126, 0.625, 0.625], [0.625, 0.126, 0.625], [0.625, 0.625, 0.126], [0.625, 0.625, 0.625]]
}


3.
{
  "formula": "SbSeBr2",
  "functional": "meta-GGA SCAN",
  "state": "single point on PBEsol structure",
  "raw_formation_energy_mev_per_atom": 195,
  "e_above_lowest_polymorph_ev_per_atom": 0.0000,
  "cell": [[0.000, 3.579, 3.579], [3.579, 0.000, 3.579], [3.579, 3.579, 0.000]],
  "species": ["Sb", "Se", "Br", "Br"],
  "fractional_positions": [[0.000, 0.000, 0.000], [0.750, 0.750, 0.750], [0.250, 0.250, 0.250], [0.500, 0.500, 0.500]]
}


4.
{
  "formula": "SbSe2Br",
  "functional": "meta-GGA SCAN",
  "state": "single point on PBEsol structure",
  "raw_formation_energy_mev_per_atom": 90,
  "e_above_lowest_polymorph_ev_per_atom": 0.0000,
  "cell": [[5.839, -1.794, 0.000], [5.839, 1.794, 0.000], [-0.961, 0.000, 5.082]],
  "species": ["Sb", "Se", "Se", "Br"],
  "fractional_positions": [[0.000, 0.000, 0.000], [0.308, 0.308, 0.885], [0.692, 0.692, 0.115], [0.500, 0.500, 0.500]]
}


5.
{
  "formula": "ZrSbSeBr2",
  "functional": "meta-GGA SCAN",
  "state": "single point on PBEsol structure",
  "raw_formation_energy_mev_per_atom": -455,
  "cell": [[5.237, 0.000, 0.000], [0.000, 5.237, 0.000], [0.000, 0.000, 5.253]],
  "species": ["Zr", "Sb", "Se", "Br", "Br"],
  "fractional_positions": [[0.000, 0.000, 0.000], [0.500, 0.500, 0.500], [0.000, 0.000, 0.500], [0.000, 0.500, 0.000], [0.500, 0.000, 0.000]]
}


6.
{
  "formula": "SiSbBr2",
  "functional": "meta-GGA SCAN",
  "state": "single point on PBEsol structure",
  "raw_formation_energy_mev_per_atom": 274,
  "e_above_lowest_polymorph_ev_per_atom": 0.1670,
  "cell": [[1.729, 0.998, 9.768], [-1.729, 0.998, 9.768], [0.000, -1.996, 9.768]],
  "species": ["Si", "Sb", "Br", "Br"],
  "fractional_positions": [[0.000, 0.000, 0.000], [0.500, 0.500, 0.500], [0.402, 0.402, 0.402], [0.598, 0.598, 0.598]]
}


7.
{
  "formula": "Si2SbBr",
  "functional": "meta-GGA SCAN",
  "state": "single point on PBEsol structure",
  "raw_formation_energy_mev_per_atom": 421,
  "e_above_lowest_polymorph_ev_per_atom": 0.2344,
  "cell": [[2.021, 1.167, 6.577], [-2.021, 1.167, 6.577], [0.000, -2.334, 6.577]],
  "species": ["Si", "Si", "Sb", "Br"],
  "fractional_positions": [[0.242, 0.242, 0.242], [0.758, 0.758, 0.758], [0.500, 0.500, 0.500], [0.000, 0.000, 0.000]]
}


8.
{
  "formula": "Si2SbBr",
  "functional": "meta-GGA SCAN",
  "state": "single point on PBEsol structure",
  "raw_formation_energy_mev_per_atom": 772,
  "e_above_lowest_polymorph_ev_per_atom": 0.5847,
  "cell": [[0.000, 3.440, 3.440], [3.440, 0.000, 3.440], [3.440, 3.440, 0.000]],
  "species": ["Si", "Si", "Sb", "Br"],
  "fractional_positions": [[0.000, 0.000, 0.000], [0.250, 0.250, 0.250], [0.500, 0.500, 0.500], [0.750, 0.750, 0.750]]
}


9.
{
  "formula": "SiSbBr3",
  "functional": "meta-GGA SCAN",
  "state": "single point on PBEsol structure",
  "raw_formation_energy_mev_per_atom": 241,
  "cell": [[5.113, 0.000, 0.000], [0.000, 5.113, 0.000], [0.000, 0.000, 5.113]],
  "species": ["Si", "Sb", "Br", "Br", "Br"],
  "fractional_positions": [[0.000, 0.000, 0.000], [0.500, 0.500, 0.500], [0.000, 0.000, 0.500], [0.000, 0.500, 0.000], [0.500, 0.000, 0.000]]
}


10.
{
  "formula": "SiSbBr2",
  "functional": "meta-GGA SCAN",
  "state": "single point on PBEsol structure",
  "raw_formation_energy_mev_per_atom": 500,
  "e_above_lowest_polymorph_ev_per_atom": 0.3935,
  "cell": [[0.000, 3.554, 3.554], [3.554, 0.000, 3.554], [3.554, 3.554, 0.000]],
  "species": ["Si", "Sb", "Br", "Br"],
  "fractional_positions": [[0.000, 0.000, 0.000], [0.750, 0.750, 0.750], [0.250, 0.250, 0.250], [0.500, 0.500, 0.500]]
}


11.
{
  "formula": "SiSbBr4",
  "functional": "meta-GGA SCAN",
  "state": "single point on PBEsol structure",
  "raw_formation_energy_mev_per_atom": 1036,
  "cell": [[0.000, 4.244, 4.244], [4.244, 0.000, 4.244], [4.244, 4.244, 0.000]],
  "species": ["Si", "Sb", "Br", "Br", "Br", "Br"],
  "fractional_positions": [[0.000, 0.000, 0.000], [0.750, 0.750, 0.750], [0.375, 0.375, 0.375], [0.375, 0.375, 0.874], [0.375, 0.874, 0.375], [0.874, 0.375, 0.375]]
}


12.
{
  "formula": "Si3SbBr",
  "functional": "meta-GGA SCAN",
  "state": "single point on PBEsol structure",
  "raw_formation_energy_mev_per_atom": 1442,
  "cell": [[5.226, 0.000, 0.000], [0.000, 5.226, 0.000], [0.000, 0.000, 5.226]],
  "species": ["Si", "Si", "Si", "Sb", "Br"],
  "fractional_positions": [[0.000, 0.000, 0.500], [0.000, 0.500, 0.000], [0.500, 0.000, 0.000], [0.000, 0.000, 0.000], [0.500, 0.500, 0.500]]
}


13.
{
  "formula": "Si2SbBr",
  "functional": "meta-GGA SCAN",
  "state": "single point on PBEsol structure",
  "raw_formation_energy_mev_per_atom": 541,
  "e_above_lowest_polymorph_ev_per_atom": 0.3538,
  "cell": [[5.803, -1.650, 0.000], [5.803, 1.650, 0.000], [-2.002, 0.000, 4.393]],
  "species": ["Si", "Si", "Sb", "Br"],
  "fractional_positions": [[0.000, 0.000, 0.000], [0.679, 0.679, 0.220], [0.407, 0.407, 0.411], [0.197, 0.197, 0.706]]
}


14.
{
  "formula": "Si2SbBr",
  "functional": "meta-GGA SCAN",
  "state": "single point on PBEsol structure",
  "raw_formation_energy_mev_per_atom": 807,
  "e_above_lowest_polymorph_ev_per_atom": 0.6201,
  "cell": [[3.188, 0.000, 0.000], [0.000, 5.066, 0.000], [0.000, 0.000, 5.139]],
  "species": ["Si", "Si", "Sb", "Br"],
  "fractional_positions": [[0.000, 0.000, 0.000], [0.500, 0.500, 0.000], [0.000, 0.500, 0.500], [0.500, 0.000, 0.500]]
}


15.
{
  "formula": "SiSbBr2",
  "functional": "meta-GGA SCAN",
  "state": "single point on PBEsol structure",
  "raw_formation_energy_mev_per_atom": 107,
  "e_above_lowest_polymorph_ev_per_atom": 0.0000,
  "cell": [[2.062, 1.191, 7.306], [-2.062, 1.191, 7.306], [0.000, -2.381, 7.306]],
  "species": ["Si", "Sb", "Br", "Br"],
  "fractional_positions": [[0.000, 0.000, 0.000], [0.282, 0.282, 0.282], [0.527, 0.527, 0.527], [0.742, 0.742, 0.742]]
}


16.
{
  "formula": "Si2SbBr",
  "functional": "meta-GGA SCAN",
  "state": "single point on PBEsol structure",
  "raw_formation_energy_mev_per_atom": 187,
  "e_above_lowest_polymorph_ev_per_atom": 0.0000,
  "cell": [[1.903, 1.099, 7.518], [-1.903, 1.099, 7.518], [0.000, -2.198, 7.518]],
  "species": ["Si", "Si", "Sb", "Br"],
  "fractional_positions": [[0.000, 0.000, 0.000], [0.282, 0.282, 0.282], [0.546, 0.546, 0.546], [0.741, 0.741, 0.741]]
}


17.
{
  "formula": "SiSb2TeBr",
  "functional": "meta-GGA SCAN",
  "state": "single point on PBEsol structure",
  "raw_formation_energy_mev_per_atom": 538,
  "cell": [[5.228, 0.000, 0.000], [0.000, 5.228, 0.000], [0.000, 0.000, 5.153]],
  "species": ["Si", "Sb", "Sb", "Te", "Br"],
  "fractional_positions": [[0.000, 0.000, 0.000], [0.000, 0.500, 0.000], [0.500, 0.000, 0.000], [0.000, 0.000, 0.500], [0.500, 0.500, 0.500]]
}


18.
{
  "formula": "SnSbBr3",
  "functional": "meta-GGA SCAN",
  "state": "single point on PBEsol structure",
  "raw_formation_energy_mev_per_atom": -13,
  "cell": [[5.583, 0.000, 0.000], [0.000, 5.583, 0.000], [0.000, 0.000, 5.583]],
  "species": ["Sn", "Sb", "Br", "Br", "Br"],
  "fractional_positions": [[0.000, 0.000, 0.000], [0.500, 0.500, 0.500], [0.000, 0.000, 0.500], [0.000, 0.500, 0.000], [0.500, 0.000, 0.000]]
}


19.
{
  "formula": "YSnSbBr2",
  "functional": "meta-GGA SCAN",
  "state": "single point on PBEsol structure",
  "raw_formation_energy_mev_per_atom": -179,
  "cell": [[5.300, 0.000, 0.000], [0.000, 5.300, 0.000], [0.000, 0.000, 5.877]],
  "species": ["Y", "Sn", "Sb", "Br", "Br"],
  "fractional_positions": [[0.000, 0.000, 0.000], [0.500, 0.500, 0.500], [0.500, 0.500, 0.000], [0.000, 0.500, 0.500], [0.500, 0.000, 0.500]]
}


20.
{
  "formula": "SrSbBr2",
  "functional": "meta-GGA SCAN",
  "state": "single point on PBEsol structure",
  "raw_formation_energy_mev_per_atom": -1031,
  "e_above_lowest_polymorph_ev_per_atom": 0.1410,
  "cell": [[-1.834, 3.144, 4.996], [1.834, -3.144, 4.996], [1.834, 3.144, -4.996]],
  "species": ["Sr", "Sb", "Br", "Br"],
  "fractional_positions": [[0.000, 0.000, 0.000], [0.500, 0.500, 0.000], [0.247, 0.747, 0.500], [0.753, 0.253, 0.500]]
}